KPPb2 PBE optimized geometry; total DFT energy (no corrections) = -3.538 eV per atom; formation energy = -57 meV per atom; space group = I-42d (122); density of states at the Fermi level = 0.81 states/eV/f.u.
1.0
-4.415 4.415 3.293
4.415 -4.415 3.293
4.415 4.415 -3.293
K P Pb
2 2 4
Cartesian
0.000 0.000 0.000 K
0.000 4.415 1.646 K
4.415 0.000 1.646 P
0.000 0.000 3.293 P
2.208 -1.560 2.470 Pb
2.855 2.208 0.823 Pb
2.208 5.975 -0.823 Pb
1.560 2.208 4.116 Pb


KPPb2 PBE optimized geometry; total DFT energy (no corrections) = -3.352 eV per atom; formation energy = 129 meV per atom; space group = I-4m2 (119); density of states at the Fermi level = 1.37 states/eV/f.u.
1.0
-2.392 2.392 4.887
2.392 -2.392 4.887
2.392 2.392 -4.887
K P Pb
1 1 2
Cartesian
0.000 0.000 0.000 K
2.392 0.000 2.443 P
0.000 0.000 4.887 Pb
0.000 2.392 2.443 Pb


KP2Pb PBE optimized geometry; total DFT energy (no corrections) = -3.468 eV per atom; formation energy = 438 meV per atom; space group = I-4m2 (119); density of states at the Fermi level = 3.77 states/eV/f.u.
1.0
-2.224 2.224 4.878
2.224 -2.224 4.878
2.224 2.224 -4.878
K P Pb
1 2 1
Cartesian
0.000 0.000 0.000 K
2.224 0.000 2.439 P
0.000 0.000 4.878 P
0.000 2.224 2.439 Pb


KPPb2 PBE optimized geometry; total DFT energy (no corrections) = -3.530 eV per atom; formation energy = -49 meV per atom; space group = C2/m (12); density of states at the Fermi level = 2.54 states/eV/f.u.
1.0
6.292 -1.874 0.000
6.292 1.874 0.000
-2.543 0.000 5.112
K P Pb
1 1 2
Cartesian
0.000 0.000 0.000 K
5.021 0.000 2.556 P
0.644 0.000 3.521 Pb
9.397 0.000 1.590 Pb


KP2Pb2 PBE optimized geometry; total DFT energy (no corrections) = -3.836 eV per atom; formation energy = 31 meV per atom; space group = I4/mmm (139); density of states at the Fermi level = 4.33 states/eV/f.u.
1.0
-2.631 2.631 5.442
2.631 -2.631 5.442
2.631 2.631 -5.442
K P Pb
1 2 2
Cartesian
0.000 0.000 0.000 K
2.631 0.000 2.721 P
0.000 2.631 2.721 P
0.000 0.000 3.759 Pb
0.000 0.000 7.125 Pb


KP2Pb PBE optimized geometry; total DFT energy (no corrections) = -3.618 eV per atom; formation energy = 288 meV per atom; space group = P4/mmm (123); density of states at the Fermi level = 2.15 states/eV/f.u.
1.0
3.367 0.000 0.000
0.000 3.367 0.000
0.000 0.000 8.736
K P Pb
1 2 1
Cartesian
0.000 0.000 0.000 K
1.683 1.683 2.393 P
1.683 1.683 6.344 P
0.000 0.000 4.368 Pb


KP2Pt4Pb PBE optimized geometry; total DFT energy (no corrections) = -5.437 eV per atom; formation energy = -463 meV per atom; space group = P4/mmm (123); density of states at the Fermi level = 2.53 states/eV/f.u.
1.0
4.013 0.000 0.000
0.000 4.013 0.000
0.000 0.000 10.813
K P Pt Pb
1 2 4 1
Cartesian
0.000 0.000 0.000 K
2.006 2.006 1.983 P
2.006 2.006 8.830 P
0.000 2.006 3.182 Pt
0.000 2.006 7.631 Pt
2.006 0.000 3.182 Pt
2.006 0.000 7.631 Pt
0.000 0.000 5.406 Pb


KP2PtPb PBE optimized geometry; total DFT energy (no corrections) = -2.358 eV per atom; formation energy = 1975 meV per atom; space group = P4/mmm (123); density of states at the Fermi level = 4.65 states/eV/f.u.
1.0
5.135 0.000 0.000
0.000 5.135 0.000
0.000 0.000 5.654
K P Pt Pb
1 2 1 1
Cartesian
0.000 0.000 0.000 K
0.000 2.568 0.000 P
2.568 0.000 0.000 P
2.568 2.568 2.827 Pt
0.000 0.000 2.827 Pb


KPPtPb2 PBE optimized geometry; total DFT energy (no corrections) = -3.965 eV per atom; formation energy = 28 meV per atom; space group = P4/mmm (123); density of states at the Fermi level = 2.06 states/eV/f.u.
1.0
5.941 0.000 0.000
0.000 5.941 0.000
0.000 0.000 4.432
K P Pt Pb
1 1 1 2
Cartesian
0.000 0.000 0.000 K
2.970 2.970 0.000 P
2.970 2.970 2.216 Pt
0.000 2.970 2.216 Pb
2.970 0.000 2.216 Pb


KRePPb2 PBE optimized geometry; total DFT energy (no corrections) = -3.869 eV per atom; formation energy = 1405 meV per atom; space group = P4/mmm (123); density of states at the Fermi level = 3.87 states/eV/f.u.
1.0
5.449 0.000 0.000
0.000 5.449 0.000
0.000 0.000 5.679
K Re P Pb
1 1 1 2
Cartesian
0.000 0.000 0.000 K
2.725 2.725 0.000 Re
0.000 0.000 2.840 P
0.000 2.725 2.840 Pb
2.725 0.000 2.840 Pb


KPRhPb PBE optimized geometry; total DFT energy (no corrections) = -4.770 eV per atom; formation energy = -379 meV per atom; space group = P4/nmm (129); density of states at the Fermi level = 4.11 states/eV/f.u.
1.0
4.203 0.000 0.000
0.000 4.203 0.000
0.000 0.000 12.503
K P Rh Pb
2 2 2 2
Cartesian
1.051 1.051 2.921 K
3.152 3.152 9.582 K
1.051 1.051 11.376 P
3.152 3.152 1.127 P
1.051 3.152 0.000 Rh
3.152 1.051 0.000 Rh
1.051 3.152 6.251 Pb
3.152 1.051 6.251 Pb


KP2PbS6 PBE optimized geometry; total DFT energy (no corrections) = -4.407 eV per atom; space group = C2/c (15); energy relative to the elements, uncorrected = -368 meV per atom; density of states at the Fermi level = 3.69 states/eV/f.u.
1.0
6.134 -6.043 0.000
6.134 6.043 0.000
-3.595 0.000 7.821
K P Pb S
2 4 2 12
Cartesian
3.438 5.052 5.866 K
5.235 -5.052 1.955 K
0.490 1.174 5.526 P
2.287 -1.174 1.616 P
6.386 1.174 6.205 P
8.183 -1.174 2.295 P
5.235 0.795 1.955 Pb
3.438 -0.795 5.866 Pb
3.765 3.924 2.559 S
2.359 0.740 1.051 S
1.915 1.728 6.841 S
6.706 3.924 1.352 S
0.562 -0.740 4.961 S
4.962 1.728 4.891 S
3.712 -1.728 2.930 S
8.112 0.740 2.860 S
1.968 -3.924 6.469 S
6.759 -1.728 0.981 S
6.315 -0.740 6.770 S
4.908 -3.924 5.262 S


KPPbS2 PBE optimized geometry; total DFT energy (no corrections) = -3.475 eV per atom; space group = P4/mmm (123); energy relative to the elements, uncorrected = 220 meV per atom; density of states at the Fermi level = 4.43 states/eV/f.u.; energy relative to the lowest polymorph listed for this composition = 0.000 eV per atom
1.0
5.411 0.000 0.000
0.000 5.411 0.000
0.000 0.000 5.341
K P Pb S
1 1 1 2
Cartesian
0.000 0.000 0.000 K
2.706 2.706 0.000 P
2.706 2.706 2.670 Pb
0.000 2.706 2.670 S
2.706 0.000 2.670 S


KPPbS4 PBE optimized geometry; total DFT energy (no corrections) = -4.499 eV per atom; space group = P2_1/m (11); energy relative to the elements, uncorrected = -681 meV per atom; density of states at the Fermi level = 0.00 states/eV/f.u.
1.0
6.740 0.000 0.000
0.000 6.665 0.000
-2.583 0.000 8.483
K P Pb S
2 2 2 8
Cartesian
0.417 1.666 3.697 K
3.740 4.999 4.786 K
1.496 4.999 1.624 P
2.661 1.666 6.859 P
-0.722 1.666 8.095 Pb
4.880 4.999 0.388 Pb
-0.165 4.999 2.826 S
-1.603 4.999 8.107 S
2.678 3.365 2.013 S
2.678 6.633 2.013 S
1.480 0.032 6.469 S
1.480 3.300 6.469 S
5.761 1.666 0.376 S
4.323 1.666 5.656 S


Total magnetic moment / Bohr magnetons per cell: 0.0, 0.0, 0.0, 0.0, 0.0, 0.0, 0.0, 0.7, 0.0, 3.6, 0.0, 1.1, 2.0, 0.0